Computed, not measured: an optimized crystal structure of Na3Li2F6 at the GGA-PBE level of DFT.

Computed properties:
Crystal system: trigonal
Volume (A^3/atom): 11.7
Formation energy without anion corrections (eV/atom): -2.48
E (eV per atom): -4.210

Cell: 14.342 14.342 14.342 Å, 12.94 12.94 12.94°
Fractional coordinates of all 11 atoms:
Na (0.000, 0.000, 0.000)
Na (0.269, 0.269, 0.269)
Na (0.731, 0.731, 0.731)
Li (0.461, 0.461, 0.461)
Li (0.539, 0.539, 0.539)
F (0.096, 0.096, 0.096)
F (0.191, 0.191, 0.191)
F (0.366, 0.366, 0.366)
F (0.634, 0.634, 0.634)
F (0.809, 0.809, 0.809)
F (0.904, 0.904, 0.904)